! PBE-GGA YIn2Hg, optimized geometry; values from VASP
&SYSTEM
  ibrav = 0, nat = 8, ntyp = 3
/
ATOMIC_SPECIES
Y 88.91 Y.upf
In 114.82 In.upf
Hg 200.59 Hg.upf
ATOMIC_POSITIONS crystal
Y 0.0000 0.0000 0.0000
Y 0.5000 0.5000 0.5000
In 0.0000 0.0000 0.5000
In 0.0000 0.5000 0.7500
In 0.5000 0.0000 0.2500
In 0.5000 0.5000 0.0000
Hg 0.0000 0.5000 0.2500
Hg 0.5000 0.0000 0.7500
CELL_PARAMETERS angstrom
4.5477 0.0000 0.0000
0.0000 4.5477 0.0000
0.0000 0.0000 9.6994
! crystal system = tetragonal
! N(E_F) = 1.88 states/eV/f.u.
! formation energy = -327.7 meV per atom
! space-group type = I-4m2 (119)
! ρ = 8.59 g/cm³
! size of the total moment = 0.00 Bohr magnetons per cell
! calculated total energy = -3.388 eV/atom